Entry 1:
A relaxed Th3In4Rh4 crystal, computed with PBE.

Results
- space group = Immm, No. 71
- energy of formation from the pure elements (eV/atom) = -0.6716

a = 3.8592 Å, b = 8.2237 Å, c = 8.9793 Å
α = 117.25°, β = 102.41°, γ = 90.00°
Fractional coordinates of all 11 atoms:
In 0.3270 0.5162 0.6540
Rh 0.5000 0.7695 0.0000
In 0.6730 0.4838 0.3460
Rh 0.2492 0.7492 0.4984
Th 0.0000 0.5000 0.0000
In 0.6730 0.8622 0.3460
Th 0.8881 0.8881 0.7762
Rh 0.5000 0.2305 0.0000
In 0.3270 0.1378 0.6540
Rh 0.7508 0.2508 0.5016
Th 0.1119 0.1119 0.2238

Entry 2:
A relaxed CsKLiCd2 crystal, computed with PBE.

Results
- space group = P4/mmm, No. 123
- energy of formation from the pure elements (eV/atom) = 0.0575

a = 5.6937 Å, b = 5.6937 Å, c = 6.1219 Å
α = 90.00°, β = 90.00°, γ = 90.00°
Fractional coordinates of all 5 atoms:
Cd 0.5000 0.0000 0.0000
Cd 0.0000 0.5000 0.0000
K 0.0000 0.0000 0.5000
Li 0.0000 0.0000 0.0000
Cs 0.5000 0.5000 0.5000

Entry 3:
A relaxed NaMn2CuCl crystal, computed with PBE.

Results
- space group = P4/mmm, No. 123
- DFT total energy (eV per atom) = -3.92

a = 5.3822 Å, b = 5.3822 Å, c = 4.7271 Å
α = 90.00°, β = 90.00°, γ = 90.00°
Fractional coordinates of all 5 atoms:
Mn 0.0000 0.5000 0.0000
Mn 0.5000 0.0000 0.0000
Na 0.0000 0.0000 0.0000
Cu 0.5000 0.5000 0.5000
Cl 0.0000 0.0000 0.5000

Entry 4:
A relaxed Sb2RuAu crystal, computed with PBE.

Results
- excess energy over the best structure of this formula in the dataset (eV/f.u.) = 1.964
- space group = F-43m, No. 216

a = 4.8746 Å, b = 4.8746 Å, c = 4.8746 Å
α = 60.00°, β = 60.00°, γ = 60.00°
Fractional coordinates of all 4 atoms:
Ru 0.7500 0.7500 0.7500
Au 0.5000 0.5000 0.5000
Sb 0.0000 0.0000 0.0000
Sb 0.2500 0.2500 0.2500

Entry 5:
A relaxed TiCuGe2 crystal, computed with PBE.

Results
- space group = I-42d, No. 122
- energy of formation from the pure elements (eV/atom) = 0.0052

a = 6.8297 Å, b = 6.8297 Å, c = 5.5946 Å
α = 52.38°, β = 52.38°, γ = 90.00°
Fractional coordinates of all 8 atoms:
Cu 0.0000 0.0000 0.0000
Ti 0.2500 0.7500 0.5000
Ge 0.6557 0.1250 0.2500
Ge 0.8750 0.9057 0.7500
Ge 0.0943 0.6250 0.2500
Ti 0.5000 0.5000 0.0000
Ge 0.3750 0.3443 0.7500
Cu 0.7500 0.2500 0.5000

Entry 6:
A relaxed LaGaGe crystal, computed with PBE.

Results
- space group = P4_2/m, No. 84
- energy of formation from the pure elements (eV/atom) = -0.4418

a = 4.4127 Å, b = 8.1800 Å, c = 8.1800 Å
α = 90.00°, β = 90.00°, γ = 90.00°
Fractional coordinates of all 12 atoms:
Ga 0.0000 0.3465 0.4020
Ga 0.5000 0.4020 0.6535
Ga 0.5000 0.5980 0.3465
La 0.0000 0.0811 0.7203
La 0.5000 0.2797 0.0811
La 0.5000 0.7203 0.9189
Ga 0.0000 0.6535 0.5980
Ge 0.5000 0.1438 0.4390
La 0.0000 0.9189 0.2797
Ge 0.5000 0.8562 0.5610
Ge 0.0000 0.4390 0.8562
Ge 0.0000 0.5610 0.1438

Entry 7:
A relaxed AlPF crystal, computed with PBE.

Results
- excess energy over the best structure of this formula in the dataset (eV/f.u.) = 0.675
- space group = P1, No. 1

a = 2.6874 Å, b = 3.8073 Å, c = 5.9884 Å
α = 89.50°, β = 86.20°, γ = 69.38°
Fractional coordinates of all 3 atoms:
P 0.7963 0.0494 0.0428
F 0.4763 0.5607 0.4780
Al 0.0344 0.5067 0.2680

Entry 8:
A relaxed La3Tb6PmSm2 crystal, computed with PBE.

Results
- space group = C2/m, No. 12
- energy of formation from the pure elements (eV/atom) = 0.0140

a = 6.3004 Å, b = 6.3004 Å, c = 11.9268 Å
α = 95.04°, β = 95.04°, γ = 120.02°
Fractional coordinates of all 12 atoms:
La 0.8332 0.1668 0.5000
Tb 0.4155 0.0821 0.2469
Sm 0.6666 0.3334 0.0000
Tb 0.2513 0.2513 0.7530
Tb 0.0821 0.4155 0.2469
Sm 0.3334 0.6666 0.0000
Tb 0.7487 0.7487 0.2470
Pm 0.0000 0.0000 0.0000
Tb 0.9179 0.5845 0.7531
Tb 0.5845 0.9179 0.7531
La 0.1668 0.8332 0.5000
La 0.5000 0.5000 0.5000

Entry 9:
A relaxed BeNiAs2Se crystal, computed with PBE.

Results
- excess energy over the best structure of this formula in the dataset (eV/f.u.) = 0.000
- space group = P4/mmm, No. 123

a = 4.3601 Å, b = 4.3601 Å, c = 4.6239 Å
α = 90.00°, β = 90.00°, γ = 90.00°
Fractional coordinates of all 5 atoms:
Se 0.0000 0.0000 0.5000
As 0.0000 0.5000 0.0000
As 0.5000 0.0000 0.0000
Be 0.0000 0.0000 0.0000
Ni 0.5000 0.5000 0.5000

Entry 10:
A relaxed LiAg3Sn3S8 crystal, computed with PBE.

Results
- space group = C2/m, No. 12
- DFT total energy (eV per atom) = -3.98

a = 7.5100 Å, b = 7.5093 Å, c = 7.6388 Å
α = 119.38°, β = 90.00°, γ = 120.00°
Fractional coordinates of all 15 atoms:
Sn 0.0000 0.5000 0.5000
S 0.7456 0.9881 0.7312
Ag 0.0000 0.5000 0.0000
S 0.7577 0.5154 0.2687
S 0.2423 0.4846 0.7313
S 0.7575 0.0119 0.2688
S 0.7486 0.4973 0.7463
S 0.2544 0.0119 0.2688
Ag 0.5000 0.5000 0.0000
S 0.2425 0.9881 0.7312
Ag 0.0000 0.0000 0.0000
Li 0.0000 0.0000 0.5000
S 0.2514 0.5027 0.2537
Sn 0.5000 0.0000 0.5000
Sn 0.5000 0.5000 0.5000

Entry 11:
A relaxed MnReNi2 crystal, computed with PBE.

Results
- excess energy over the best structure of this formula in the dataset (eV/f.u.) = 0.520
- space group = R3m, No. 160
- energy of formation from the pure elements (eV/atom) = 0.1349

a = 8.4292 Å, b = 8.4292 Å, c = 8.4292 Å
α = 18.00°, β = 18.00°, γ = 18.00°
Fractional coordinates of all 4 atoms:
Ni 0.2524 0.2524 0.2524
Mn 0.7465 0.7465 0.7465
Ni 0.0004 0.0004 0.0004
Re 0.5007 0.5007 0.5007

Entry 12:
A relaxed Y3GaH crystal, computed with PBE.

Results
- excess energy over the best structure of this formula in the dataset (eV/f.u.) = 0.000
- space group = P2_1/m, No. 11

a = 3.5510 Å, b = 7.4667 Å, c = 8.6501 Å
α = 91.48°, β = 90.00°, γ = 90.00°
Fractional coordinates of all 10 atoms:
H 0.7500 0.1220 0.5917
Y 0.2500 0.3566 0.6117
Y 0.7500 0.0682 0.3316
Y 0.7500 0.6434 0.3883
Y 0.2500 0.9318 0.6684
Y 0.2500 0.7391 0.0391
H 0.2500 0.8780 0.4083
Y 0.7500 0.2609 0.9609
Ga 0.2500 0.3818 0.2322
Ga 0.7500 0.6182 0.7678